[1]
This record from the Alexandria database describes a geometry-optimized MnZn2As structure. The functional is PBE.

Cell: 8.413 8.413 8.413 Å, 20.03 20.03 20.03°
Positions (direct):
Mn 0.000 0.000 0.000
Zn 0.502 0.502 0.502
Zn 0.746 0.746 0.746
As 0.267 0.267 0.267

Formation energy from the elements ... 135 meV per atom

=====

[2]
This record from the Alexandria database describes a geometry-optimized MnZnAs structure. The functional is PBE.

Cell: 2.861 2.861 10.951 Å, 90.00 90.00 90.00°
Positions (direct):
Mn 0.250 0.250 0.071
Mn 0.750 0.750 0.929
Zn 0.250 0.250 0.576
Zn 0.750 0.750 0.424
As 0.250 0.250 0.804
As 0.750 0.750 0.196

Formation energy from the elements ... -19 meV per atom

=====

[3]
This record from the Alexandria database describes a geometry-optimized MnZn2As structure. The functional is PBE.

Cell: 3.334 3.334 5.464 Å, 90.00 90.00 90.00°
Positions (direct):
Mn 0.000 0.000 0.000
Zn 0.000 0.000 0.503
Zn 0.500 0.500 0.277
As 0.500 0.500 0.806

Formation energy from the elements ... 27 meV per atom

=====

[4]
This record from the Alexandria database describes a geometry-optimized Mn2ZnAs structure. The functional is PBE.

Cell: 5.483 5.483 5.483 Å, 103.81 103.81 121.51°
Positions (direct):
Mn 0.111 0.625 0.986
Mn 0.375 0.361 0.486
Mn 0.639 0.125 0.014
Mn 0.875 0.889 0.514
Zn 0.250 0.750 0.500
Zn 0.500 0.500 0.000
As 0.000 0.000 0.000
As 0.750 0.250 0.500

Formation energy from the elements ... 251 meV per atom

=====

[5]
This record from the Alexandria database describes a geometry-optimized MnZn2As structure. The functional is PBE.

Cell: 4.926 4.926 4.926 Å, 134.33 134.33 66.58°
Positions (direct):
Mn 0.000 0.000 0.000
Zn 0.250 0.750 0.500
Zn 0.500 0.500 0.000
As 0.750 0.250 0.500

Formation energy from the elements ... 60 meV per atom

=====

[6]
This record from the Alexandria database describes a geometry-optimized Mn2ZnAs structure. The functional is PBE.

Cell: 4.150 4.150 4.150 Å, 60.00 60.00 60.00°
Positions (direct):
Mn 0.250 0.250 0.250
Mn 0.750 0.750 0.750
Zn 0.000 0.000 0.000
As 0.500 0.500 0.500

Formation energy from the elements ... 162 meV per atom

=====

[7]
This record from the Alexandria database describes a geometry-optimized MnZn2As structure. The functional is PBE.

Cell: 2.810 2.810 8.051 Å, 90.00 90.00 90.00°
Positions (direct):
Mn 0.000 0.000 0.000
Zn 0.000 0.000 0.457
Zn 0.500 0.500 0.222
As 0.500 0.500 0.786

Formation energy from the elements ... 94 meV per atom

=====

[8]
This record from the Alexandria database describes a geometry-optimized MnZn2As structure. The functional is PBE.

Cell: 4.870 4.870 2.919 Å, 90.00 90.00 115.92°
Positions (direct):
Mn 0.000 0.000 0.000
Zn 0.000 0.500 0.500
Zn 0.500 0.000 0.500
As 0.500 0.500 0.000

Formation energy from the elements ... 102 meV per atom

=====

[9]
This record from the Alexandria database describes a geometry-optimized MnZn2As structure. The functional is PBE.

Cell: 3.861 3.861 4.110 Å, 90.00 90.00 90.00°
Positions (direct):
Mn 0.000 0.000 0.000
Zn 0.000 0.500 0.500
Zn 0.500 0.000 0.500
As 0.500 0.500 0.000

Formation energy from the elements ... 54 meV per atom

=====

[10]
This record from the Alexandria database describes a geometry-optimized Mn2ZnAs structure. The functional is PBE.

Cell: 4.334 4.334 4.334 Å, 60.00 60.00 60.00°
Positions (direct):
Mn 0.000 0.000 0.000
Mn 0.250 0.250 0.250
Zn 0.750 0.750 0.750
As 0.500 0.500 0.500

Formation energy from the elements ... 211 meV per atom

=====

[11]
This record from the Alexandria database describes a geometry-optimized MnZnAs structure. The functional is PBE.

Cell: 6.478 6.478 6.478 Å, 155.06 155.06 35.55°
Positions (direct):
Mn 0.000 0.000 0.000
Zn 0.363 0.363 0.000
As 0.636 0.636 0.000

Formation energy from the elements ... 113 meV per atom

=====

[12]
This record from the Alexandria database describes a geometry-optimized MnZn2As structure. The functional is PBE.

Cell: 5.227 5.227 4.432 Å, 99.91 99.91 31.30°
Positions (direct):
Mn 0.000 0.000 0.000
Zn 0.262 0.262 0.762
Zn 0.738 0.738 0.238
As 0.500 0.500 0.500

Formation energy from the elements ... 98 meV per atom